Si3GeN | PBE-GGA | optimized geometry

Its crystal system is cubic. The distance to the lowest polymorph of the same formula comes out at 0.00 eV/f.u. As for the calculated total energy: -25.672 eV per formula unit.

Lattice parameters (Å, degrees): 4.139 4.139 4.139 90.00 90.00 90.00
Space group Pm-3m (No. 221)
Inequivalent atoms, fractional coordinates:
1 Si 0.000 0.000 0.500 x3
2 Ge 0.500 0.500 0.500 x1
3 N 0.000 0.000 0.000 x1


Rb3GaAu3 | PBE-GGA | optimized geometry

Its crystal system is orthorhombic. The energy of formation comes out at -0.11 eV/atom. The distance to the lowest polymorph of the same formula comes out at 1.19 eV/f.u. As for the calculated total energy: -16.537 eV per formula unit.

Lattice parameters (Å, degrees): 10.741 18.549 6.908 90.00 90.00 90.00
Space group Cmcm (No. 63)
Inequivalent atoms, fractional coordinates:
1 Rb 0.000 0.182 0.250 x4
2 Rb 0.227 0.409 0.250 x8
3 Ga 0.000 0.333 0.750 x4
4 Au 0.000 0.195 0.750 x4
5 Au 0.206 0.402 0.750 x8


LiAlGa4 | PBE-GGA | optimized geometry

Its crystal system is cubic. The energy of formation comes out at 0.01 eV/atom. As for the calculated total energy: -17.725 eV per formula unit.

Lattice parameters (Å, degrees): 7.681 7.681 7.681 90.00 90.00 90.00
Space group F-43m (No. 216)
Inequivalent atoms, fractional coordinates:
1 Li 0.000 0.000 0.000 x4
2 Al 0.250 0.250 0.750 x4
3 Ga 0.125 0.125 0.375 x16